Density functional theory data (PBE) for TlCu3Ru4O12 after structural relaxation.

Lattice parameters (Å, degrees): 7.528 7.528 7.528 90.00 90.00 90.00
Space group Im-3 (No. 204)
Asymmetric unit:
Tl1 0.000 0.000 0.000 x2
Cu1 0.000 0.000 0.500 x6
Ru1 0.250 0.250 0.250 x8
O1 0.000 0.177 0.312 x24

Computed properties:
Energy relative to the elements, uncorrected in eV per atom: -0.753
DFT total energy in eV/atom: -6.316

Density functional theory data (PBE) for LaPm2Mg5 after structural relaxation.

Lattice parameters (Å, degrees): 5.335 5.335 15.676 90.00 90.00 90.00
Space group I4/mmm (No. 139)
Asymmetric unit:
La1 0.000 0.000 0.000 x2
Pm1 0.000 0.000 0.262 x4
Mg1 0.000 0.000 0.500 x2
Mg2 0.000 0.500 0.121 x8

Computed properties:
DFT total energy in eV/atom: -2.901

Density functional theory data (PBE) for FeHg2RhW after structural relaxation.

Lattice parameters (Å, degrees): 5.099 5.099 4.563 90.00 90.00 90.00
Space group P4/mmm (No. 123)
Asymmetric unit:
Fe1 0.000 0.000 0.000 x1
Hg1 0.000 0.500 0.500 x2
Rh1 0.000 0.000 0.500 x1
W1 0.500 0.500 0.000 x1

Computed properties:
DFT total energy in eV/atom: -4.195